Entry 1:
Below is a relaxed structure of TlAg4W, with properties calculated at the PBE level.

```
data_TlAg4W
_cell_length_a 7.779
_cell_length_b 7.779
_cell_length_c 7.779
_cell_angle_alpha 90.00
_cell_angle_beta 90.00
_cell_angle_gamma 90.00
_space_group_name_H-M_alt 'F -4 3 m'
_space_group_IT_number 216
_space_group_name_Hall 'F -4 2 3'
loop_
_atom_site_label
_atom_site_type_symbol
_atom_site_fract_x
_atom_site_fract_y
_atom_site_fract_z
Tl1 Tl 0.000 0.000 0.000
Ag1 Ag 0.125 0.125 0.375
W1 W 0.250 0.250 0.750
```

***

Entry 2:
# Tl2AgW PBE relaxed
# ΔE to the lowest computed polymorph, kJ/mol of formula units: 131
data_Tl2AgW
_cell_length_a 6.966
_cell_length_b 6.966
_cell_length_c 6.966
_cell_angle_alpha 90.00
_cell_angle_beta 90.00
_cell_angle_gamma 90.00
_space_group_name_H-M_alt 'F m -3 m'
_space_group_IT_number 225
_space_group_name_Hall '-F 4 2 3'
loop_
_atom_site_label
_atom_site_type_symbol
_atom_site_fract_x
_atom_site_fract_y
_atom_site_fract_z
Tl1 Tl 0.250 0.250 0.250
Ag1 Ag 0.000 0.000 0.000
W1 W 0.000 0.000 0.500

***

Entry 3:
# Tl2AgW PBE relaxed
# ΔE to the lowest computed polymorph, kJ/mol of formula units: 0
data_Tl2AgW
_cell_length_a 2.974
_cell_length_b 2.974
_cell_length_c 9.987
_cell_angle_alpha 90.00
_cell_angle_beta 90.00
_cell_angle_gamma 90.00
_space_group_name_H-M_alt 'P 4 m m'
_space_group_IT_number 99
_space_group_name_Hall 'P 4 -2'
loop_
_atom_site_label
_atom_site_type_symbol
_atom_site_fract_x
_atom_site_fract_y
_atom_site_fract_z
Tl1 Tl 0.000 0.000 0.000
Tl2 Tl 0.500 0.500 0.307
Ag1 Ag 0.500 0.500 0.738
W1 W 0.000 0.000 0.543

***

Entry 4:
# Tl2AgW PBE relaxed
# ΔE to the lowest computed polymorph, kJ/mol of formula units: 183
data_Tl2AgW
_cell_length_a 7.083
_cell_length_b 7.083
_cell_length_c 7.083
_cell_angle_alpha 90.00
_cell_angle_beta 90.00
_cell_angle_gamma 90.00
_space_group_name_H-M_alt 'F -4 3 m'
_space_group_IT_number 216
_space_group_name_Hall 'F -4 2 3'
loop_
_atom_site_label
_atom_site_type_symbol
_atom_site_fract_x
_atom_site_fract_y
_atom_site_fract_z
Tl1 Tl 0.000 0.000 0.000
Tl2 Tl 0.250 0.250 0.250
Ag1 Ag 0.000 0.000 0.500
W1 W 0.250 0.250 0.750

***

Entry 5:
# Tl2AgW PBE relaxed
# ΔE to the lowest computed polymorph, kJ/mol of formula units: 37
data_Tl2AgW
_cell_length_a 2.972
_cell_length_b 2.972
_cell_length_c 9.549
_cell_angle_alpha 90.00
_cell_angle_beta 90.00
_cell_angle_gamma 90.00
_space_group_name_H-M_alt 'P 4/m m m'
_space_group_IT_number 123
_space_group_name_Hall '-P 4 2'
loop_
_atom_site_label
_atom_site_type_symbol
_atom_site_fract_x
_atom_site_fract_y
_atom_site_fract_z
Tl1 Tl 0.000 0.000 0.244
Ag1 Ag 0.500 0.500 0.500
W1 W 0.500 0.500 0.000

***

Entry 6:
# TlAgW2 PBE relaxed
# ΔE to the lowest computed polymorph, kJ/mol of formula units: 165
data_TlAgW2
_cell_length_a 3.244
_cell_length_b 4.639
_cell_length_c 9.641
_cell_angle_alpha 90.00
_cell_angle_beta 90.00
_cell_angle_gamma 90.00
_space_group_name_H-M_alt 'C m m m'
_space_group_IT_number 65
_space_group_name_Hall '-C 2 2'
loop_
_atom_site_label
_atom_site_type_symbol
_atom_site_fract_x
_atom_site_fract_y
_atom_site_fract_z
Tl1 Tl 0.000 0.000 0.000
Ag1 Ag 0.000 0.000 0.500
W1 W 0.000 0.500 0.255

***

Entry 7:
# Tl2AgW2 PBE relaxed
# ΔE to the lowest computed polymorph, kJ/mol of formula units: 184
data_Tl2AgW2
_cell_length_a 4.094
_cell_length_b 4.094
_cell_length_c 13.229
_cell_angle_alpha 90.00
_cell_angle_beta 90.00
_cell_angle_gamma 90.00
_space_group_name_H-M_alt 'I 4/m m m'
_space_group_IT_number 139
_space_group_name_Hall '-I 4 2'
loop_
_atom_site_label
_atom_site_type_symbol
_atom_site_fract_x
_atom_site_fract_y
_atom_site_fract_z
Tl1 Tl 0.000 0.500 0.250
Ag1 Ag 0.000 0.000 0.000
W1 W 0.000 0.000 0.413

***

Entry 8:
# TlAgW2 PBE relaxed
# ΔE to the lowest computed polymorph, kJ/mol of formula units: 110
data_TlAgW2
_cell_length_a 9.665
_cell_length_b 2.805
_cell_length_c 5.370
_cell_angle_alpha 90.00
_cell_angle_beta 95.38
_cell_angle_gamma 90.00
_space_group_name_H-M_alt 'C 1 m 1'
_space_group_IT_number 8
_space_group_name_Hall 'C -2y'
loop_
_atom_site_label
_atom_site_type_symbol
_atom_site_fract_x
_atom_site_fract_y
_atom_site_fract_z
Tl1 Tl 0.000 0.000 0.000
Ag1 Ag 0.253 0.500 0.224
W1 W 0.251 0.000 0.701
W2 W 0.499 0.000 0.506

***

Entry 9:
# TlAgW2 PBE relaxed
# ΔE to the lowest computed polymorph, kJ/mol of formula units: 136
data_TlAgW2
_cell_length_a 3.929
_cell_length_b 3.929
_cell_length_c 4.644
_cell_angle_alpha 90.00
_cell_angle_beta 90.00
_cell_angle_gamma 90.00
_space_group_name_H-M_alt 'P 4/m m m'
_space_group_IT_number 123
_space_group_name_Hall '-P 4 2'
loop_
_atom_site_label
_atom_site_type_symbol
_atom_site_fract_x
_atom_site_fract_y
_atom_site_fract_z
Tl1 Tl 0.000 0.000 0.000
Ag1 Ag 0.500 0.500 0.000
W1 W 0.000 0.500 0.500

***

Entry 10:
# Tl2AgW PBE relaxed
# ΔE to the lowest computed polymorph, kJ/mol of formula units: 14
data_Tl2AgW
_cell_length_a 3.094
_cell_length_b 5.425
_cell_length_c 10.019
_cell_angle_alpha 90.00
_cell_angle_beta 90.00
_cell_angle_gamma 90.00
_space_group_name_H-M_alt 'C m m m'
_space_group_IT_number 65
_space_group_name_Hall '-C 2 2'
loop_
_atom_site_label
_atom_site_type_symbol
_atom_site_fract_x
_atom_site_fract_y
_atom_site_fract_z
Tl1 Tl 0.000 0.000 0.248
Ag1 Ag 0.000 0.500 0.500
W1 W 0.000 0.500 0.000

***

Entry 11:
# TlAgW2 PBE relaxed
# ΔE to the lowest computed polymorph, kJ/mol of formula units: 58
data_TlAgW2
_cell_length_a 2.9017
_cell_length_b 2.9017
_cell_length_c 30.5221
_cell_angle_alpha 90.00
_cell_angle_beta 90.00
_cell_angle_gamma 120.00
_space_group_name_H-M_alt 'R 3 m'
_space_group_IT_number 160
_space_group_name_Hall 'R 3 -2"'
loop_
_atom_site_label
_atom_site_type_symbol
_atom_site_fract_x
_atom_site_fract_y
_atom_site_fract_z
Tl1 Tl 0.0000 0.0000 0.0000
Ag1 Ag 0.0000 0.0000 0.2431
W1 W 0.0000 0.0000 0.4966
W2 W 0.0000 0.0000 0.7525

***

Entry 12:
# TlAgW2 PBE relaxed
# ΔE to the lowest computed polymorph, kJ/mol of formula units: 149
data_TlAgW2
_cell_length_a 2.809
_cell_length_b 4.626
_cell_length_c 5.533
_cell_angle_alpha 90.00
_cell_angle_beta 90.00
_cell_angle_gamma 90.00
_space_group_name_H-M_alt 'P m m m'
_space_group_IT_number 47
_space_group_name_Hall '-P 2 2'
loop_
_atom_site_label
_atom_site_type_symbol
_atom_site_fract_x
_atom_site_fract_y
_atom_site_fract_z
Tl1 Tl 0.000 0.000 0.000
Ag1 Ag 0.000 0.000 0.500
W1 W 0.500 0.500 0.257

***

Entry 13:
# Tl2AgW PBE relaxed
# ΔE to the lowest computed polymorph, kJ/mol of formula units: 43
data_Tl2AgW
_cell_length_a 2.980
_cell_length_b 5.405
_cell_length_c 5.179
_cell_angle_alpha 90.00
_cell_angle_beta 90.00
_cell_angle_gamma 90.00
_space_group_name_H-M_alt 'P m m 2'
_space_group_IT_number 25
_space_group_name_Hall 'P 2 -2'
loop_
_atom_site_label
_atom_site_type_symbol
_atom_site_fract_x
_atom_site_fract_y
_atom_site_fract_z
Tl1 Tl 0.000 0.000 0.000
Tl2 Tl 0.500 0.500 0.248
Ag1 Ag 0.500 0.000 0.525
W1 W 0.000 0.500 0.742

***

Entry 14:
# TlAgW2 PBE relaxed
# ΔE to the lowest computed polymorph, kJ/mol of formula units: 37
data_TlAgW2
_cell_length_a 3.263
_cell_length_b 3.263
_cell_length_c 7.277
_cell_angle_alpha 90.00
_cell_angle_beta 90.00
_cell_angle_gamma 90.00
_space_group_name_H-M_alt 'P 4 m m'
_space_group_IT_number 99
_space_group_name_Hall 'P 4 -2'
loop_
_atom_site_label
_atom_site_type_symbol
_atom_site_fract_x
_atom_site_fract_y
_atom_site_fract_z
Tl1 Tl 0.000 0.000 0.000
Ag1 Ag 0.500 0.500 0.724
W1 W 0.000 0.000 0.467
W2 W 0.500 0.500 0.298

***

Entry 15:
# TlAgW PBE relaxed
# ΔE to the lowest computed polymorph, kJ/mol of formula units: 16
data_TlAgW
_cell_length_a 2.878
_cell_length_b 2.878
_cell_length_c 14.070
_cell_angle_alpha 90.00
_cell_angle_beta 90.00
_cell_angle_gamma 90.00
_space_group_name_H-M_alt 'I 4 m m'
_space_group_IT_number 107
_space_group_name_Hall 'I 4 -2'
loop_
_atom_site_label
_atom_site_type_symbol
_atom_site_fract_x
_atom_site_fract_y
_atom_site_fract_z
Tl1 Tl 0.000 0.000 0.000
Ag1 Ag 0.000 0.000 0.319
W1 W 0.000 0.000 0.670

***

Entry 16:
# Y2TlAg PBE relaxed
# ΔE to the lowest computed polymorph, kJ/mol of formula units: 0
data_Y2TlAg
_cell_length_a 7.460
_cell_length_b 7.460
_cell_length_c 7.460
_cell_angle_alpha 90.00
_cell_angle_beta 90.00
_cell_angle_gamma 90.00
_space_group_name_H-M_alt 'F m -3 m'
_space_group_IT_number 225
_space_group_name_Hall '-F 4 2 3'
loop_
_atom_site_label
_atom_site_type_symbol
_atom_site_fract_x
_atom_site_fract_y
_atom_site_fract_z
Y1 Y 0.250 0.250 0.250
Tl1 Tl 0.000 0.000 0.000
Ag1 Ag 0.000 0.000 0.500

***

Entry 17:
Below is a relaxed structure of Y2Tl2Ag3, with properties calculated at the PBE level.

```
data_Y2Tl2Ag3
_cell_length_a 11.754
_cell_length_b 3.783
_cell_length_c 7.573
_cell_angle_alpha 90.00
_cell_angle_beta 91.75
_cell_angle_gamma 90.00
_space_group_name_H-M_alt 'C 1 2/m 1'
_space_group_IT_number 12
_space_group_name_Hall '-C 2y'
loop_
_atom_site_label
_atom_site_type_symbol
_atom_site_fract_x
_atom_site_fract_y
_atom_site_fract_z
Y1 Y 0.135 0.000 0.301
Tl1 Tl 0.097 0.500 0.643
Ag1 Ag 0.000 0.500 0.000
Ag2 Ag 0.186 0.000 0.900
```

***

Entry 18:
# YTlAg2 PBE relaxed
# ΔE to the lowest computed polymorph, kJ/mol of formula units: 33
data_YTlAg2
_cell_length_a 4.566
_cell_length_b 4.566
_cell_length_c 4.427
_cell_angle_alpha 90.00
_cell_angle_beta 90.00
_cell_angle_gamma 90.00
_space_group_name_H-M_alt 'P 4/m m m'
_space_group_IT_number 123
_space_group_name_Hall '-P 4 2'
loop_
_atom_site_label
_atom_site_type_symbol
_atom_site_fract_x
_atom_site_fract_y
_atom_site_fract_z
Y1 Y 0.000 0.000 0.000
Tl1 Tl 0.500 0.500 0.000
Ag1 Ag 0.000 0.500 0.500

***

Entry 19:
# Y8TlAg2 PBE relaxed
# ΔE to the lowest computed polymorph, kJ/mol of formula units: 106
data_Y8TlAg2
_cell_length_a 8.831
_cell_length_b 14.207
_cell_length_c 5.485
_cell_angle_alpha 90.00
_cell_angle_beta 108.56
_cell_angle_gamma 90.00
_space_group_name_H-M_alt 'C 1 2/m 1'
_space_group_IT_number 12
_space_group_name_Hall '-C 2y'
loop_
_atom_site_label
_atom_site_type_symbol
_atom_site_fract_x
_atom_site_fract_y
_atom_site_fract_z
Y1 Y 0.000 0.230 0.000
Y2 Y 0.105 0.500 0.805
Y3 Y 0.209 0.119 0.600
Tl1 Tl 0.000 0.000 0.000
Ag1 Ag 0.000 0.305 0.500

***

Entry 20:
Below is a relaxed structure of Y4Tl5Ag2, with properties calculated at the PBE level.

```
data_Y4Tl5Ag2
_cell_length_a 8.185
_cell_length_b 3.650
_cell_length_c 9.775
_cell_angle_alpha 90.00
_cell_angle_beta 91.15
_cell_angle_gamma 90.00
_space_group_name_H-M_alt 'P 1 2/m 1'
_space_group_IT_number 10
_space_group_name_Hall '-P 2y'
loop_
_atom_site_label
_atom_site_type_symbol
_atom_site_fract_x
_atom_site_fract_y
_atom_site_fract_z
Y1 Y 0.213 0.000 0.360
Y2 Y 0.234 0.000 0.902
Tl1 Tl 0.131 0.500 0.630
Tl2 Tl 0.446 0.500 0.158
Tl3 Tl 0.500 0.500 0.500
Ag1 Ag 0.080 0.500 0.127
```

***

| no. | formation energy from the elements (kcal/mol of atoms) | uncorrected energy (eV/atom) |
| --- | --- | --- |
| 1 | 18.299 | -3.66 |
| 2 | 23.903 | -4.10 |
| 3 | 16.078 | -4.44 |
| 4 | 27.026 | -3.96 |
| 5 | 18.303 | -4.34 |
| 6 | 22.625 | -6.80 |
| 7 | 32.064 | -5.31 |
| 8 | 19.328 | -6.94 |
| 9 | 20.868 | -6.88 |
| 10 | 16.900 | -4.40 |
| 11 | 16.220 | -7.08 |
| 12 | 21.653 | -6.84 |
| 13 | 18.659 | -4.33 |
| 14 | 14.967 | -7.13 |
| 15 | 18.786 | -5.24 |
| 16 | -8.539 | -4.91 |
| 17 | -3.344 | -3.89 |
| 18 | -3.466 | -3.78 |
| 19 | -1.426 | -5.50 |
| 20 | -6.589 | -4.23 |